[1]
A relaxed structure of Ho5Ru4Pb. Source: the Alexandria database, functional PBE.

Cell and atoms, written as POSCAR:
```
Ho5Ru4Pb
1.0
-1.7993 1.3243 2.5692
2.1217 -1.4501 2.2333
10.5347 14.9271 -0.3162
Ho Ru Pb
5 4 1
Direct
0.5000 0.5000 0.1331 Ho
0.5000 0.5000 0.3167 Ho
0.5000 0.5000 0.5000 Ho
0.5000 0.5000 0.6833 Ho
0.5000 0.5000 0.8669 Ho
0.0000 0.0000 0.2202 Ru
0.0000 0.0000 0.4075 Ru
0.0000 0.0000 0.5925 Ru
0.0000 0.0000 0.7798 Ru
0.0000 0.0000 0.0000 Pb
```

Values from the calculation:
Electronic total energy (eV/f.u.): -67.8
DOS(E_F) (states/eV per atom): 0.6126
Crystal system: tetragonal
Formation energy from the elements (eV per atom): -0.411
Symmetry: P4/mmm (123)

---

[2]
A relaxed structure of Ho3RuPb2. Source: the Alexandria database, functional PBE.

Cell and atoms, written as POSCAR:
```
Ho3RuPb2
1.0
4.3214 0.0000 0.0000
0.0000 11.7213 0.0000
0.0000 0.0000 12.6716
Ho Ru Pb
12 4 8
Direct
0.2500 0.3697 0.0561 Ho
0.7500 0.6303 0.9439 Ho
0.7500 0.8697 0.4439 Ho
0.2500 0.1303 0.5561 Ho
0.2500 0.7183 0.2534 Ho
0.7500 0.2817 0.7466 Ho
0.7500 0.2183 0.2466 Ho
0.2500 0.7817 0.7534 Ho
0.2500 0.4623 0.3813 Ho
0.7500 0.5377 0.6187 Ho
0.7500 0.9623 0.1187 Ho
0.2500 0.0377 0.8813 Ho
0.2500 0.1335 0.1261 Ru
0.7500 0.8665 0.8739 Ru
0.7500 0.6335 0.3739 Ru
0.2500 0.3665 0.6261 Ru
0.2500 0.6968 0.5151 Pb
0.7500 0.3032 0.4849 Pb
0.7500 0.1968 0.9849 Pb
0.2500 0.8032 0.0151 Pb
0.2500 0.0090 0.3152 Pb
0.7500 0.9910 0.6848 Pb
0.7500 0.5090 0.1848 Pb
0.2500 0.4910 0.8152 Pb
```

Values from the calculation:
Electronic total energy (eV/f.u.): -33.0
DOS(E_F) (states/eV per atom): 0.6944
Crystal system: orthorhombic
Formation energy from the elements (eV per atom): -0.434
Symmetry: Pnma (62)

---

[3]
A relaxed structure of Ho2RuPb. Source: the Alexandria database, functional PBE.

Cell and atoms, written as POSCAR:
```
Ho2RuPb
1.0
-1.0415 -4.8707 -1.0796
3.7836 -3.3952 -0.3619
0.5621 -3.5807 3.5828
Pb Ru Ho
1 1 2
Direct
0.0000 0.0000 0.0000 Pb
0.5000 0.5000 0.5000 Ru
0.2500 0.2500 0.2500 Ho
0.7500 0.7500 0.7500 Ho
```

Values from the calculation:
Electronic total energy (eV/f.u.): -23.3
DOS(E_F) (states/eV per atom): 0.5619
Crystal system: cubic
ΔE to the lowest computed polymorph (meV/atom): 207.8
Formation energy from the elements (eV per atom): -0.278
Symmetry: Fm-3m (225)

---

[4]
A relaxed structure of Ho7Ru2Pb2. Source: the Alexandria database, functional PBE.

Cell and atoms, written as POSCAR:
```
Ho7Ru2Pb2
1.0
6.7292 -0.0027 -0.7013
0.0032 7.2574 0.0032
-1.1192 -0.0024 6.6724
Ho Ru Pb
7 2 2
Direct
0.0000 0.2412 0.5000 Ho
0.5000 0.7588 0.0000 Ho
0.0000 0.7588 0.5000 Ho
0.5000 0.2412 0.0000 Ho
0.0000 0.0000 0.0000 Ho
0.5000 0.7735 0.5000 Ho
0.5000 0.2265 0.5000 Ho
0.7132 0.0000 0.2868 Ru
0.2868 0.0000 0.7132 Ru
0.8096 0.5000 0.8096 Pb
0.1904 0.5000 0.1904 Pb
```

Values from the calculation:
Electronic total energy (eV/f.u.): -61.1
DOS(E_F) (states/eV per atom): 0.8945
Crystal system: orthorhombic
Formation energy from the elements (eV per atom): -0.277
Symmetry: Cmmm (65)

---

[5]
A relaxed structure of Ho4RuPb. Source: the Alexandria database, functional PBE.

Cell and atoms, written as POSCAR:
```
Ho4RuPb
1.0
-3.7339 3.5878 -3.2738
-4.8241 -5.8197 4.1358
3.7162 5.2873 4.7823
Ho Ru Pb
8 2 2
Direct
0.0557 0.2064 0.8587 Ho
0.7860 0.7233 0.6663 Ho
0.3030 0.6523 0.8587 Ho
0.3803 0.9431 0.6663 Ho
0.6197 0.0569 0.3337 Ho
0.6970 0.3477 0.1413 Ho
0.2140 0.2767 0.3337 Ho
0.9443 0.7936 0.1413 Ho
0.2502 0.0002 0.0005 Ru
0.7498 0.9998 0.9995 Ru
0.3794 0.6294 0.2587 Pb
0.6206 0.3706 0.7413 Pb
```

Values from the calculation:
Electronic total energy (eV/f.u.): -33.8
DOS(E_F) (states/eV per atom): 0.9238
Crystal system: monoclinic
Formation energy from the elements (eV per atom): -0.416
Symmetry: C2/c (15)

---

[6]
A relaxed structure of Ho8Ru3Pb2. Source: the Alexandria database, functional PBE.

Cell and atoms, written as POSCAR:
```
Ho8Ru3Pb2
1.0
-0.4678 2.7445 -4.0373
-0.3346 -8.0432 -5.4289
-7.2750 3.8295 3.4462
Ho Ru Pb
8 3 2
Direct
0.0000 0.6073 0.2143 Ho
0.0000 0.3927 0.7857 Ho
0.0000 0.1110 0.2215 Ho
0.0000 0.8890 0.7785 Ho
0.5000 0.6475 0.7837 Ho
0.5000 0.1356 0.7830 Ho
0.5000 0.8644 0.2170 Ho
0.5000 0.3525 0.2163 Ho
0.5000 0.0000 0.0000 Ru
0.0000 0.2479 0.9998 Ru
0.0000 0.7521 0.0002 Ru
0.5000 0.2568 0.5132 Pb
0.5000 0.7432 0.4868 Pb
```

Values from the calculation:
Electronic total energy (eV/f.u.): -76.4
DOS(E_F) (states/eV per atom): 0.6404
Crystal system: orthorhombic
Formation energy from the elements (eV per atom): -0.351
Symmetry: Cmmm (65)

---

[7]
A relaxed structure of Ho2RuPb. Source: the Alexandria database, functional PBE.

Cell and atoms, written as POSCAR:
```
Ho2RuPb
1.0
3.4273 0.0000 0.0000
0.0000 3.4273 0.0000
0.0000 0.0000 8.1394
Ho Ru Pb
2 1 1
Direct
0.0000 0.0000 0.7979 Ho
0.0000 0.0000 0.2021 Ho
0.5000 0.5000 0.0000 Ru
0.5000 0.5000 0.5000 Pb
```

Values from the calculation:
Electronic total energy (eV/f.u.): -24.1
DOS(E_F) (states/eV per atom): 0.3503
Crystal system: tetragonal
ΔE to the lowest computed polymorph (meV/atom): 0.0
Formation energy from the elements (eV per atom): -0.485
Symmetry: P4/mmm (123)

---

[8]
A relaxed structure of Ho6RuPb. Source: the Alexandria database, functional PBE.

Cell and atoms, written as POSCAR:
```
Ho6RuPb
1.0
6.8068 0.0087 0.0025
3.3960 5.9099 0.0109
3.3882 1.9649 6.5086
Ho Ru Pb
6 1 1
Direct
0.0361 0.4163 0.7607 Ho
0.7860 0.0357 0.7609 Ho
0.5840 0.2134 0.2392 Ho
0.2140 0.9643 0.2391 Ho
0.9639 0.5837 0.2393 Ho
0.4160 0.7866 0.7608 Ho
0.0000 0.0000 0.0000 Ru
0.5000 0.5000 0.5000 Pb
```

Values from the calculation:
Electronic total energy (eV/f.u.): -40.9
DOS(E_F) (states/eV per atom): 1.0175
Crystal system: triclinic
Formation energy from the elements (eV per atom): -0.050
Symmetry: P-1 (2)

---

[9]
A relaxed structure of Ho6Ru2Pb. Source: the Alexandria database, functional PBE.

Cell and atoms, written as POSCAR:
```
Ho6Ru2Pb
1.0
7.9601 -0.1407 -2.9523
-4.2697 6.9815 -2.2644
-0.1335 0.1407 8.4889
Ho Ru Pb
12 4 2
Direct
0.5288 0.7115 0.8174 Ho
0.4712 0.2885 0.1826 Ho
0.1059 0.2885 0.8174 Ho
0.8941 0.7115 0.1826 Ho
0.7888 0.7611 0.5499 Ho
0.2112 0.2389 0.4501 Ho
0.2112 0.7611 0.9723 Ho
0.7888 0.2389 0.0277 Ho
0.6873 0.3559 0.6686 Ho
0.3127 0.6441 0.3314 Ho
0.3127 0.9813 0.6686 Ho
0.6873 0.0187 0.3314 Ho
0.5000 0.3713 0.8713 Ru
0.5000 0.6287 0.1287 Ru
0.6695 0.0000 0.6695 Ru
0.3305 0.0000 0.3305 Ru
0.0000 0.5000 0.5000 Pb
0.0000 0.0000 0.0000 Pb
```

Values from the calculation:
Electronic total energy (eV/f.u.): -53.3
DOS(E_F) (states/eV per atom): 0.7890
Crystal system: orthorhombic
Formation energy from the elements (eV per atom): -0.403
Symmetry: Immm (71)

---

[10]
A relaxed structure of Ho2RuPb. Source: the Alexandria database, functional PBE.

Cell and atoms, written as POSCAR:
```
Ho2RuPb
1.0
-0.8803 0.9707 3.3340
-1.8101 -2.2634 2.1056
6.9684 -3.8600 4.8884
Pb Ru Ho
1 1 2
Direct
0.5000 0.5000 0.5000 Pb
0.0000 0.0000 0.0000 Ru
0.7347 0.7347 0.7959 Ho
0.2653 0.2653 0.2041 Ho
```

Values from the calculation:
Electronic total energy (eV/f.u.): -23.2
DOS(E_F) (states/eV per atom): 0.8500
Crystal system: trigonal
ΔE to the lowest computed polymorph (meV/atom): 208.5
Formation energy from the elements (eV per atom): -0.277
Symmetry: R-3m (166)

---

[11]
A relaxed structure of Ho12Ru5Pb. Source: the Alexandria database, functional PBE.

Cell and atoms, written as POSCAR:
```
Ho12Ru5Pb
1.0
7.7852 -0.0680 -3.1113
-4.0329 6.9704 -2.3333
-0.1364 0.0680 8.3828
Ho Ru Pb
12 5 1
Direct
0.5557 0.8245 0.7311 Ho
0.4443 0.1755 0.2689 Ho
0.9066 0.1755 0.7311 Ho
0.0934 0.8245 0.2689 Ho
0.6861 0.6730 0.3592 Ho
0.3139 0.3270 0.6408 Ho
0.3139 0.6730 0.9869 Ho
0.6861 0.3270 0.0131 Ho
0.8068 0.5739 0.7671 Ho
0.1932 0.4261 0.2329 Ho
0.1932 0.9603 0.7671 Ho
0.8068 0.0397 0.2329 Ho
0.6638 0.6638 0.0000 Ru
0.3362 0.3362 0.0000 Ru
0.5000 0.1226 0.6226 Ru
0.5000 0.8774 0.3774 Ru
0.0000 0.0000 0.0000 Ru
0.0000 0.5000 0.5000 Pb
```

Values from the calculation:
Electronic total energy (eV/f.u.): -112.0
DOS(E_F) (states/eV per atom): 0.8071
Crystal system: orthorhombic
Formation energy from the elements (eV per atom): -0.389
Symmetry: Immm (71)